Entry 1:
Entry from the Alexandria database: ZrOs3 after structural relaxation (PBE).

```
16
Lattice="3.976 0.000 0.000 0.000 3.976 0.000 0.000 0.000 16.107" Properties=species:S:1:pos:R:3 pbc="T T T"
Zr 0.000 0.000 1.921
Zr 0.000 0.000 14.186
Zr 1.988 1.988 6.133
Zr 1.988 1.988 9.974
Os 0.000 0.000 5.963
Os 0.000 0.000 10.144
Os 0.000 1.988 0.000
Os 0.000 1.988 4.027
Os 0.000 1.988 8.054
Os 0.000 1.988 12.080
Os 1.988 0.000 0.000
Os 1.988 0.000 4.027
Os 1.988 0.000 8.054
Os 1.988 0.000 12.080
Os 1.988 1.988 2.090
Os 1.988 1.988 14.017
```

Calculated values
The density of states at the Fermi level comes out at 1.34 states/eV per atom. The value obtained for the excess energy over the best structure of this formula in the dataset is 0.089 eV/atom. The value obtained for the energy is -10.551 eV/atom.


Entry 2:
Entry from the Alexandria database: ZrOs3 after structural relaxation (PBE).

```
12
Lattice="2.779 0.000 0.000 -1.390 2.407 0.000 0.000 0.000 28.497" Properties=species:S:1:pos:R:3 pbc="T T T"
Zr 0.000 0.000 0.000
Zr 0.000 1.605 18.998
Zr 1.390 0.802 9.499
Os 0.000 0.000 6.919
Os 0.000 0.000 14.248
Os 0.000 0.000 21.578
Os 0.000 1.605 4.749
Os 0.000 1.605 12.079
Os 0.000 1.605 25.917
Os 1.390 0.802 2.580
Os 1.390 0.802 16.418
Os 1.390 0.802 23.747
```

Calculated values
The density of states at the Fermi level comes out at 1.16 states/eV per atom. The value obtained for the excess energy over the best structure of this formula in the dataset is 0.312 eV/atom. The value obtained for the energy is -10.327 eV/atom.


Entry 3:
Entry from the Alexandria database: ZrOs2 after structural relaxation (PBE).

```
6
Lattice="2.856 0.000 0.000 0.000 2.856 0.000 0.000 0.000 12.344" Properties=species:S:1:pos:R:3 pbc="T T T"
Zr 0.000 0.000 0.000
Zr 1.428 1.428 6.172
Os 0.000 0.000 3.913
Os 0.000 0.000 8.431
Os 1.428 1.428 2.259
Os 1.428 1.428 10.085
```

Calculated values
The density of states at the Fermi level comes out at 0.70 states/eV per atom. The value obtained for the energy is -10.457 eV/atom.


Entry 4:
Entry from the Alexandria database: ZrOs3 after structural relaxation (PBE).

```
16
Lattice="5.660 0.000 0.000 0.000 9.805 0.000 0.000 0.000 4.575" Properties=species:S:1:pos:R:3 pbc="T T T"
Zr 0.000 0.880 1.144
Zr 0.000 8.925 3.431
Zr 2.830 4.022 3.431
Zr 2.830 5.783 1.144
Os 0.000 4.146 3.431
Os 0.000 5.659 1.144
Os 1.362 3.259 1.144
Os 1.362 6.547 3.431
Os 1.468 1.644 3.431
Os 1.468 8.161 1.144
Os 2.830 0.756 1.144
Os 2.830 9.049 3.431
Os 4.192 1.644 3.431
Os 4.192 8.161 1.144
Os 4.298 3.259 1.144
Os 4.298 6.547 3.431
```

Calculated values
The density of states at the Fermi level comes out at 1.19 states/eV per atom. The value obtained for the excess energy over the best structure of this formula in the dataset is 0.130 eV/atom. The value obtained for the energy is -10.509 eV/atom.


Entry 5:
Entry from the Alexandria database: Zr4Os after structural relaxation (PBE).

```
10
Lattice="3.032 -8.324 0.000 3.032 8.324 0.000 -2.812 0.000 4.329" Properties=species:S:1:pos:R:3 pbc="T T T"
Zr -0.498 3.269 3.285
Zr 0.795 1.263 0.585
Zr -0.611 -1.263 2.749
Zr 0.908 -3.269 1.121
Zr 2.344 3.269 3.208
Zr 3.863 1.263 1.580
Zr 2.457 -1.263 3.744
Zr 3.750 -3.269 1.044
Os 0.923 0.970 3.247
Os 2.329 -0.970 1.082
```

Calculated values
The density of states at the Fermi level comes out at 1.20 states/eV per atom. The value obtained for the excess energy over the best structure of this formula in the dataset is 0.194 eV/atom. The value obtained for the energy is -9.113 eV/atom.


Entry 6:
Entry from the Alexandria database: Zr3Os after structural relaxation (PBE).

```
32
Lattice="10.954 0.000 0.000 0.000 10.954 0.000 0.000 0.000 5.556" Properties=species:S:1:pos:R:3 pbc="T T T"
Zr 0.437 0.437 1.389
Zr 0.437 5.040 4.167
Zr 1.139 8.215 0.000
Zr 1.687 1.687 4.167
Zr 1.687 3.790 1.389
Zr 2.738 6.616 2.778
Zr 2.738 9.815 2.778
Zr 3.790 1.687 1.389
Zr 3.790 3.790 4.167
Zr 4.338 8.215 0.000
Zr 5.040 0.437 4.167
Zr 5.040 5.040 1.389
Zr 5.914 5.914 4.167
Zr 5.914 10.517 1.389
Zr 6.616 2.738 0.000
Zr 7.164 7.164 1.389
Zr 7.164 9.267 4.167
Zr 8.215 1.139 2.778
Zr 8.215 4.338 2.778
Zr 9.267 7.164 4.167
Zr 9.267 9.267 1.389
Zr 9.815 2.738 0.000
Zr 10.517 5.914 1.389
Zr 10.517 10.517 4.167
Os 0.448 8.215 2.778
Os 2.738 5.925 0.000
Os 2.738 10.506 0.000
Os 5.029 8.215 2.778
Os 5.925 2.738 2.778
Os 8.215 0.448 0.000
Os 8.215 5.029 0.000
Os 10.506 2.738 2.778
```

Calculated values
The density of states at the Fermi level comes out at 1.30 states/eV per atom. The value obtained for the energy is -9.482 eV/atom.


Entry 7:
Entry from the Alexandria database: Zr3Os after structural relaxation (PBE).

```
12
Lattice="9.326 0.000 0.000 -4.663 8.077 0.000 0.000 0.000 3.122" Properties=species:S:1:pos:R:3 pbc="T T T"
Zr -2.332 4.038 0.000
Zr 0.000 2.692 1.041
Zr -2.332 6.731 1.041
Zr 2.332 1.346 2.082
Zr 4.663 0.000 0.000
Zr 2.332 4.038 0.000
Zr 2.332 6.731 1.041
Zr 6.995 1.346 2.082
Zr 4.663 5.384 2.082
Os 0.000 0.000 0.000
Os 0.000 5.384 2.082
Os 4.663 2.692 1.041
```

Calculated values
The density of states at the Fermi level comes out at 1.47 states/eV per atom. The value obtained for the energy is -9.261 eV/atom.


Entry 8:
Entry from the Alexandria database: Zr4Os after structural relaxation (PBE).

```
10
Lattice="0.000 6.537 3.009 5.513 0.000 3.009 5.513 6.537 0.000" Properties=species:S:1:pos:R:3 pbc="T T T"
Zr 7.396 7.303 1.381
Zr 4.639 2.504 2.886
Zr 6.374 5.101 3.009
Zr 3.629 5.772 1.381
Zr 4.651 7.974 3.009
Zr 6.386 10.571 2.886
Zr 7.407 8.370 4.514
Zr 9.130 11.242 4.514
Os 2.756 3.269 0.897
Os 5.513 6.537 5.410
```

Calculated values
The density of states at the Fermi level comes out at 1.06 states/eV per atom. The value obtained for the excess energy over the best structure of this formula in the dataset is 0.162 eV/atom. The value obtained for the energy is -9.146 eV/atom.


Entry 9:
Entry from the Alexandria database: ZrOs3 after structural relaxation (PBE).

```
4
Lattice="2.833 0.000 0.000 0.000 2.833 0.000 0.000 0.000 8.029" Properties=species:S:1:pos:R:3 pbc="T T T"
Zr 0.000 0.000 0.000
Os 0.000 0.000 4.014
Os 1.417 1.417 2.222
Os 1.417 1.417 5.807
```

Calculated values
The density of states at the Fermi level comes out at 1.28 states/eV per atom. The value obtained for the excess energy over the best structure of this formula in the dataset is 0.143 eV/atom. The value obtained for the energy is -10.496 eV/atom.


Entry 10:
Entry from the Alexandria database: Zr13Os2 after structural relaxation (PBE).

```
15
Lattice="5.999 0.000 0.000 1.315 7.386 0.000 0.093 3.736 7.548" Properties=species:S:1:pos:R:3 pbc="T T T"
Zr 0.000 0.000 0.000
Zr 1.040 6.575 5.048
Zr 2.541 9.675 4.774
Zr 2.317 8.153 7.471
Zr 1.795 1.874 1.683
Zr 2.967 4.720 6.424
Zr 3.311 4.149 3.165
Zr 4.094 6.972 4.383
Zr 4.439 6.401 1.124
Zr 5.611 9.247 5.865
Zr 5.089 2.968 0.077
Zr 4.865 1.446 2.774
Zr 6.365 4.546 2.500
Os 2.137 6.783 2.509
Os 5.269 4.339 5.039
```

Calculated values
The density of states at the Fermi level comes out at 1.18 states/eV per atom. The value obtained for the energy is -8.990 eV/atom.


Entry 11:
Entry from the Alexandria database: Zr3Os after structural relaxation (PBE).

```
8
Lattice="3.328 0.000 0.000 0.000 4.900 0.000 0.000 0.000 9.912" Properties=species:S:1:pos:R:3 pbc="T T T"
Zr 0.000 0.000 0.000
Zr 0.000 2.450 2.231
Zr 0.000 2.450 7.681
Zr 1.664 0.000 2.725
Zr 1.664 0.000 7.187
Zr 1.664 2.450 4.956
Os 0.000 0.000 4.956
Os 1.664 2.450 0.000
```

Calculated values
The density of states at the Fermi level comes out at 1.01 states/eV per atom. The value obtained for the energy is -9.487 eV/atom.


Entry 12:
Entry from the Alexandria database: ZrOs2 after structural relaxation (PBE).

```
12
Lattice="5.235 0.000 0.000 -2.617 4.533 0.000 0.000 0.000 8.593" Properties=species:S:1:pos:R:3 pbc="T T T"
Zr 0.000 3.022 0.572
Zr 0.000 3.022 3.725
Zr 2.617 1.511 4.868
Zr 2.617 1.511 8.021
Os 0.000 0.000 0.000
Os 0.000 0.000 4.297
Os 0.000 1.563 6.445
Os -1.264 3.752 6.445
Os 1.354 0.782 2.148
Os 1.263 3.752 6.445
Os 3.881 0.782 2.148
Os 2.617 2.970 2.148
```

Calculated values
The density of states at the Fermi level comes out at 0.73 states/eV per atom. The value obtained for the energy is -10.722 eV/atom.


Entry 13:
Entry from the Alexandria database: Zr3Os after structural relaxation (PBE).

```
12
Lattice="3.211 0.000 0.000 -1.605 2.781 0.000 0.000 0.000 28.091" Properties=species:S:1:pos:R:3 pbc="T T T"
Zr 0.000 0.000 0.000
Zr 0.000 0.000 6.740
Zr 0.000 0.000 21.351
Zr 0.000 1.854 11.987
Zr 0.000 1.854 18.727
Zr 0.000 1.854 25.468
Zr 1.605 0.927 2.624
Zr 1.605 0.927 9.364
Zr 1.605 0.927 16.104
Os 0.000 0.000 14.046
Os 0.000 1.854 4.682
Os 1.605 0.927 23.409
```

Calculated values
The density of states at the Fermi level comes out at 1.06 states/eV per atom. The value obtained for the energy is -9.179 eV/atom.


Entry 14:
Entry from the Alexandria database: Zr3Os after structural relaxation (PBE).

```
4
Lattice="4.327 0.000 0.000 0.000 4.327 0.000 0.000 0.000 4.327" Properties=species:S:1:pos:R:3 pbc="T T T"
Zr 0.000 0.000 2.163
Zr 0.000 2.163 0.000
Zr 2.163 0.000 0.000
Os 2.163 2.163 2.163
```

Calculated values
The density of states at the Fermi level comes out at 1.56 states/eV per atom. The value obtained for the energy is -9.191 eV/atom.


Entry 15:
Entry from the Alexandria database: Zr2Os3 after structural relaxation (PBE).

```
5
Lattice="4.478 0.000 0.000 -2.239 3.878 0.000 0.000 0.000 5.516" Properties=species:S:1:pos:R:3 pbc="T T T"
Zr 0.000 2.585 1.740
Zr 2.239 1.293 3.776
Os 0.000 0.000 2.758
Os 0.000 2.585 4.570
Os 2.239 1.293 0.946
```

Calculated values
The density of states at the Fermi level comes out at 1.16 states/eV per atom. The value obtained for the excess energy over the best structure of this formula in the dataset is 0.573 eV/atom. The value obtained for the energy is -9.761 eV/atom.


Entry 16:
Entry from the Alexandria database: Zr3Os5 after structural relaxation (PBE).

```
16
Lattice="6.912 0.000 0.000 0.000 8.860 0.000 0.000 0.000 4.398" Properties=species:S:1:pos:R:3 pbc="T T T"
Zr 0.000 0.000 0.000
Zr 0.000 2.425 2.199
Zr 0.000 6.435 2.199
Zr 3.456 2.005 2.199
Zr 3.456 4.430 0.000
Zr 3.456 6.855 2.199
Os 0.000 4.430 0.000
Os 1.602 0.000 2.199
Os 1.728 2.215 0.000
Os 1.728 6.645 0.000
Os 1.854 4.430 2.199
Os 3.456 0.000 0.000
Os 5.058 4.430 2.199
Os 5.184 2.215 0.000
Os 5.184 6.645 0.000
Os 5.310 0.000 2.199
```

Calculated values
The density of states at the Fermi level comes out at 1.10 states/eV per atom. The value obtained for the energy is -10.353 eV/atom.


Entry 17:
Entry from the Alexandria database: ZrOs2 after structural relaxation (PBE).

```
12
Lattice="10.178 0.000 0.000 0.000 2.803 0.000 -2.673 0.000 7.065" Properties=species:S:1:pos:R:3 pbc="T T T"
Zr 1.281 0.000 0.881
Zr 1.135 1.401 6.184
Zr 6.370 1.401 0.881
Zr 6.224 0.000 6.184
Os -1.465 1.401 5.336
Os 0.041 0.000 3.635
Os 2.375 1.401 3.430
Os 3.881 0.000 1.729
Os 3.624 0.000 5.336
Os 5.130 1.401 3.635
Os 7.464 0.000 3.430
Os 8.970 1.401 1.729
```

Calculated values
The density of states at the Fermi level comes out at 0.85 states/eV per atom. The value obtained for the energy is -10.380 eV/atom.


Entry 18:
Entry from the Alexandria database: ZrOs3 after structural relaxation (PBE).

```
8
Lattice="5.086 0.000 0.000 0.000 5.086 0.000 0.000 0.000 5.086" Properties=species:S:1:pos:R:3 pbc="T T T"
Zr 0.000 0.000 0.000
Zr 2.543 2.543 2.543
Os 0.000 1.272 2.543
Os 0.000 3.815 2.543
Os 1.272 2.543 0.000
Os 2.543 0.000 1.272
Os 2.543 0.000 3.815
Os 3.815 2.543 0.000
```

Calculated values
The density of states at the Fermi level comes out at 1.14 states/eV per atom. The value obtained for the excess energy over the best structure of this formula in the dataset is 0.447 eV/atom. The value obtained for the energy is -10.192 eV/atom.


Entry 19:
Entry from the Alexandria database: ZrOs3 after structural relaxation (PBE).

```
4
Lattice="2.800 0.000 0.000 -1.400 2.424 0.000 0.000 0.000 9.400" Properties=species:S:1:pos:R:3 pbc="T T T"
Zr 0.000 0.000 0.000
Os 0.000 0.000 4.700
Os 1.400 0.808 2.581
Os 1.400 0.808 6.819
```

Calculated values
The density of states at the Fermi level comes out at 0.76 states/eV per atom. The value obtained for the excess energy over the best structure of this formula in the dataset is 0.177 eV/atom. The value obtained for the energy is -10.462 eV/atom.


Entry 20:
Entry from the Alexandria database: Zr3Os5 after structural relaxation (PBE).

```
16
Lattice="8.182 0.000 0.000 -4.091 7.086 0.000 0.000 0.000 4.954" Properties=species:S:1:pos:R:3 pbc="T T T"
Zr -1.562 2.706 1.238
Zr -2.528 4.379 3.715
Zr 3.125 0.000 1.238
Zr 1.562 2.706 3.715
Zr 5.057 0.000 3.715
Zr 2.528 4.379 1.238
Os -0.782 1.354 3.715
Os -3.309 5.731 1.238
Os 1.564 0.000 3.715
Os 0.782 1.354 1.238
Os 0.000 4.724 0.000
Os 0.000 4.724 2.477
Os 4.091 2.362 0.000
Os 4.091 2.362 2.477
Os 6.618 0.000 1.238
Os 3.309 5.731 3.715
```

Calculated values
The density of states at the Fermi level comes out at 0.69 states/eV per atom. The value obtained for the energy is -10.048 eV/atom.